Computed, not measured: crystalline BeReRh at its relaxed geometry at the PBE level of DFT.

Structure (POSCAR):
```
BeReRh
1.0
4.0492 0.0000 0.0000
-2.0246 3.5067 0.0000
0.0000 0.0000 2.6735
Re Rh Be
1 1 1
Direct
0.6667 0.3333 0.3334
0.3333 0.6667 0.8335
0.0000 0.0000 0.8332
```

**Magnetic moment**: 0.0 Bohr magnetons per cell
**Calculated formation energy**: -0.30 eV per formula unit
**Symmetry**: No. 187
**Total energy**: -7.941 eV/atom
**Energy above the lowest structure with this stoichiometry**: 180.3 meV/atom